A plane-wave DFT calculation with GGA-PBE was carried out for a geometry-optimized TaIr4Rh structure. Values from VASP.

Output
**Magnetization**: 0.0 μB/f.u.
**Raw total energy**: -9.067 eV per atom
**Space-group type**: F-43m (216)
**Formation enthalpy at 0 K**: 0.04 eV/atom
**Volume**: 15.9 Å³ per atom

Geometry as Quantum ESPRESSO input:
```
&SYSTEM
  ibrav = 0, nat = 6, ntyp = 3
/
ATOMIC_SPECIES
Ir 192.22 Ir.upf
Rh 102.91 Rh.upf
Ta 180.95 Ta.upf
ATOMIC_POSITIONS crystal
Ir 0.375 0.874 0.375
Rh 0.750 0.750 0.750
Ir 0.874 0.375 0.375
Ir 0.375 0.375 0.375
Ir 0.375 0.375 0.874
Ta 0.000 0.000 0.000
CELL_PARAMETERS angstrom
0.000 3.626 3.626
3.626 0.000 3.626
3.626 3.626 0.000
```

---

A plane-wave DFT calculation with GGA-PBE was carried out for a geometry-optimized TaIr2Rh structure. Values from VASP.

Output
**Magnetization**: 0.0 μB/f.u.
**Raw total energy**: -9.893 eV per atom
**Space-group type**: P4/mmm (123)
**Formation enthalpy at 0 K**: -0.66 eV/atom
**Volume**: 15.0 Å³ per atom
**Excess energy over the best structure of this formula in the dataset**: 0.000 eV per atom

Geometry as Quantum ESPRESSO input:
```
&SYSTEM
  ibrav = 0, nat = 4, ntyp = 3
/
ATOMIC_SPECIES
Ta 180.95 Ta.upf
Ir 192.22 Ir.upf
Rh 102.91 Rh.upf
ATOMIC_POSITIONS crystal
Ta 0.000 0.500 0.500
Ir 0.000 0.000 0.000
Ir 0.500 0.500 0.000
Rh 0.500 0.000 0.500
CELL_PARAMETERS angstrom
3.922 0.000 0.000
0.000 3.922 0.000
0.000 0.000 3.909
```

---

A plane-wave DFT calculation with GGA-PBE was carried out for a geometry-optimized Ta4Ir4Rh5 structure. Values from VASP.

Output
**Magnetization**: 0.0 μB/f.u.
**Raw total energy**: -9.743 eV per atom
**Space-group type**: I4/m (87)
**Formation enthalpy at 0 K**: -0.54 eV/atom
**Volume**: 15.4 Å³ per atom

Geometry as Quantum ESPRESSO input:
```
&SYSTEM
  ibrav = 0, nat = 13, ntyp = 3
/
ATOMIC_SPECIES
Ta 180.95 Ta.upf
Rh 102.91 Rh.upf
Ir 192.22 Ir.upf
ATOMIC_POSITIONS crystal
Ta 0.230 0.635 0.905
Ta 0.770 0.365 0.095
Rh 0.545 0.765 0.146
Rh 0.690 0.854 0.765
Ir 0.618 0.293 0.471
Rh 0.310 0.146 0.235
Rh 0.000 0.000 0.000
Ir 0.382 0.707 0.529
Ta 0.865 0.905 0.365
Rh 0.455 0.235 0.854
Ir 0.911 0.471 0.707
Ir 0.089 0.529 0.293
Ta 0.135 0.095 0.635
CELL_PARAMETERS angstrom
3.842 0.000 0.977
1.921 7.107 0.488
0.170 0.000 7.377
```

---

A plane-wave DFT calculation with GGA-PBE was carried out for a geometry-optimized TaIrRh2 structure. Values from VASP.

Output
**Magnetization**: 0.0 μB/f.u.
**Raw total energy**: -9.256 eV per atom
**Space-group type**: P2/m (10)
**Formation enthalpy at 0 K**: -0.40 eV/atom
**Volume**: 15.1 Å³ per atom
**Excess energy over the best structure of this formula in the dataset**: 0.233 eV per atom

Geometry as Quantum ESPRESSO input:
```
&SYSTEM
  ibrav = 0, nat = 4, ntyp = 3
/
ATOMIC_SPECIES
Rh 102.91 Rh.upf
Ta 180.95 Ta.upf
Ir 192.22 Ir.upf
ATOMIC_POSITIONS crystal
Rh 0.000 0.000 0.000
Ta 0.500 0.500 0.000
Ir 0.000 0.500 0.500
Rh 0.500 0.000 0.500
CELL_PARAMETERS angstrom
2.826 0.000 0.000
0.000 4.749 0.001
0.000 1.532 4.498
```

---

A plane-wave DFT calculation with GGA-PBE was carried out for a geometry-optimized TaIrRh2 structure. Values from VASP.

Output
**Magnetization**: 0.0 μB/f.u.
**Raw total energy**: -9.180 eV per atom
**Space-group type**: C2/m (12)
**Formation enthalpy at 0 K**: -0.33 eV/atom
**Volume**: 15.2 Å³ per atom
**Excess energy over the best structure of this formula in the dataset**: 0.310 eV per atom

Geometry as Quantum ESPRESSO input:
```
&SYSTEM
  ibrav = 0, nat = 4, ntyp = 3
/
ATOMIC_SPECIES
Ir 192.22 Ir.upf
Rh 102.91 Rh.upf
Ta 180.95 Ta.upf
ATOMIC_POSITIONS crystal
Ir 0.000 0.000 0.500
Rh 0.250 0.250 0.745
Rh 0.750 0.750 0.255
Ta 0.500 0.500 0.000
CELL_PARAMETERS angstrom
-3.648 -3.085 0.531
-1.592 -4.461 -0.817
1.264 -2.116 4.087
```

---

A plane-wave DFT calculation with GGA-PBE was carried out for a geometry-optimized Ta4Ir6Rh structure. Values from VASP.

Output
**Magnetization**: 0.0 μB/f.u.
**Raw total energy**: -9.918 eV per atom
**Space-group type**: C2/c (15)
**Formation enthalpy at 0 K**: -0.11 eV/atom
**Volume**: 18.0 Å³ per atom

Geometry as Quantum ESPRESSO input:
```
&SYSTEM
  ibrav = 0, nat = 22, ntyp = 3
/
ATOMIC_SPECIES
Ta 180.95 Ta.upf
Rh 102.91 Rh.upf
Ir 192.22 Ir.upf
ATOMIC_POSITIONS crystal
Ta 0.752 0.760 0.006
Rh 0.000 0.527 0.527
Ta 0.252 0.494 0.740
Ir 0.500 0.767 0.767
Ir 0.000 0.733 0.733
Ir 0.492 0.773 0.284
Ir 0.992 0.216 0.727
Rh 0.500 0.973 0.973
Ta 0.271 0.502 0.257
Ir 0.964 0.015 0.526
Ta 0.748 0.740 0.494
Ir 0.500 0.265 0.265
Ta 0.729 0.257 0.502
Ta 0.229 0.998 0.243
Ir 0.036 0.526 0.015
Ir 0.000 0.235 0.235
Ir 0.508 0.284 0.773
Ta 0.771 0.243 0.998
Ir 0.008 0.727 0.216
Ta 0.248 0.006 0.760
Ir 0.536 0.485 0.974
Ir 0.464 0.974 0.485
CELL_PARAMETERS angstrom
-4.908 -2.260 0.696
4.616 -6.523 -4.169
1.594 -6.333 6.212
```

---

Q: Number 2 is which compound?
A: TaIr2Rh

---

Q: Which of these has the highest raw total energy?
A: TaIr4Rh